Run one
5
Lattice="-0.906 3.847 1.537 1.375 -1.204 3.826 3.730 1.256 -0.945" Properties=species:S:1:pos:R:3 comment="TaMoNF2 PBE+U optimized geometry" space_group="P4/mmm (123)" pbc="T T T"
N 1.865 0.628 -0.473
Mo 2.100 1.949 2.209
Ta 0.000 0.000 0.000
F 0.688 -0.602 1.913
F -0.453 1.924 0.768

---

Run two
5
Lattice="4.061 0.000 0.000 0.000 4.061 0.000 0.000 0.000 4.513" Properties=species:S:1:pos:R:3 comment="TaMoNF2 PBE+U optimized geometry" space_group="P4/mmm (123)" pbc="T T T"
Mo 0.000 0.000 0.000
F 0.000 2.030 0.000
N 0.000 0.000 2.256
F 2.030 0.000 0.000
Ta 2.030 2.030 2.256

---

The most stable of them is run one.

---

Run one
5
Lattice="3.930 0.000 0.000 0.000 3.930 0.000 0.000 0.000 4.104" Properties=species:S:1:pos:R:3 comment="TcMoN2F PBE+U optimized geometry" space_group="P4/mmm (123)" pbc="T T T"
Mo 1.965 1.965 2.052
Tc 0.000 0.000 0.000
F 0.000 0.000 2.052
N 1.965 0.000 0.000
N 0.000 1.965 0.000

---

Run two
5
Lattice="4.046 0.000 0.000 0.000 4.046 0.000 0.000 0.000 4.071" Properties=species:S:1:pos:R:3 comment="TcMoN2F PBE+U optimized geometry" space_group="P4/mmm (123)" pbc="T T T"
N 0.000 2.023 0.000
N 2.023 0.000 0.000
F 0.000 0.000 2.036
Mo 0.000 0.000 0.000
Tc 2.023 2.023 2.036

---

The most stable of them is run one.

---

Run one
5
Lattice="4.035 0.000 0.000 0.000 4.035 0.000 0.000 0.000 3.961" Properties=species:S:1:pos:R:3 comment="TiMoN2F PBE+U optimized geometry" space_group="P4/mmm (123)" pbc="T T T"
N 2.018 0.000 0.000
Ti 2.018 2.018 1.981
N 0.000 2.018 0.000
F 0.000 0.000 1.981
Mo 0.000 0.000 0.000

---

Run two
5
Lattice="4.004 0.000 0.000 0.000 4.004 0.000 0.000 0.000 3.786" Properties=species:S:1:pos:R:3 comment="TiMoN2F PBE+U optimized geometry" space_group="P4/mmm (123)" pbc="T T T"
F 0.000 0.000 1.893
N 0.000 2.002 0.000
N 2.002 0.000 0.000
Mo 2.002 2.002 1.893
Ti 0.000 0.000 0.000

---

The most stable of them is run two.

---

Run one
5
Lattice="-2.151 1.234 -3.167 1.896 -2.675 -2.330 -2.824 -2.742 0.849" Properties=species:S:1:pos:R:3 comment="VMoN2F PBE+U optimized geometry" space_group="P4/mmm (123)" pbc="T T T"
N 0.948 -1.338 -1.165
F -1.412 -1.371 0.425
Mo 0.000 0.000 0.000
V -1.539 -2.091 -2.324
N -1.075 0.617 -1.584

---

Run two
5
Lattice="3.931 0.000 0.000 0.000 3.931 0.000 0.000 0.000 3.830" Properties=species:S:1:pos:R:3 comment="VMoN2F PBE+U optimized geometry" space_group="P4/mmm (123)" pbc="T T T"
N 1.965 0.000 0.000
Mo 1.965 1.965 1.915
F 0.000 0.000 1.915
N 0.000 1.965 0.000
V 0.000 0.000 0.000

---

The most stable of them is run two.

---

Run one
5
Lattice="3.969 0.000 0.000 0.000 3.969 0.000 0.000 0.000 4.103" Properties=species:S:1:pos:R:3 comment="VMoNF2 PBE+U optimized geometry" space_group="P4/mmm (123)" pbc="T T T"
F 1.984 0.000 0.000
N 0.000 0.000 2.052
V 0.000 0.000 0.000
Mo 1.984 1.984 2.052
F 0.000 1.984 0.000

---

Run two
5
Lattice="4.198 0.000 0.000 0.000 4.198 0.000 0.000 0.000 4.132" Properties=species:S:1:pos:R:3 comment="VMoNF2 PBE+U optimized geometry" space_group="P4/mmm (123)" pbc="T T T"
Mo 0.000 0.000 0.000
V 2.099 2.099 2.066
F 2.099 0.000 0.000
N 0.000 0.000 2.066
F 0.000 2.099 0.000

---

The most stable of them is run one.

---

Run one
5
Lattice="-3.345 0.232 2.499 1.113 -3.796 1.842 2.272 2.050 2.851" Properties=species:S:1:pos:R:3 comment="YMoNF2 PBE+U optimized geometry" space_group="P4/mmm (123)" pbc="T T T"
F 1.136 1.025 1.425
N 0.557 -1.898 0.921
Mo 0.000 0.000 0.000
Y 0.020 -0.757 3.596
F -1.673 0.116 1.250

---

Run two
5
Lattice="-0.245 -0.295 4.247 -1.435 -3.999 -0.360 4.456 -1.612 0.145" Properties=species:S:1:pos:R:3 comment="YMoNF2 PBE+U optimized geometry" space_group="P4/mmm (123)" pbc="T T T"
F -0.123 -0.147 2.123
Mo 1.388 -2.953 2.016
N 2.228 -0.806 0.073
F -0.717 -2.000 -0.180
Y 0.000 0.000 0.000

---

The most stable of them is run two.

---

Run one
5
Lattice="4.122 0.000 0.000 0.000 4.122 0.000 0.000 0.000 3.995" Properties=species:S:1:pos:R:3 comment="YMoN2F PBE+U optimized geometry" space_group="P4/mmm (123)" pbc="T T T"
F 0.000 0.000 1.998
Mo 0.000 0.000 0.000
N 2.061 0.000 0.000
Y 2.061 2.061 1.998
N 0.000 2.061 0.000

---

Run two
5
Lattice="4.490 0.000 0.000 0.000 4.490 0.000 0.000 0.000 4.207" Properties=species:S:1:pos:R:3 comment="YMoN2F PBE+U optimized geometry" space_group="P4/mmm (123)" pbc="T T T"
N 0.000 2.245 0.000
Y 0.000 0.000 0.000
F 0.000 0.000 2.103
N 2.245 0.000 0.000
Mo 2.245 2.245 2.103

---

The most stable of them is run one.

---

Run one
5
Lattice="-1.826 1.622 3.139 -3.533 -0.795 -1.644 -0.044 -3.661 1.865" Properties=species:S:1:pos:R:3 comment="ZnMoN2F PBE+U optimized geometry" space_group="P4/mmm (123)" pbc="T T T"
Zn -2.702 -1.417 1.680
F -0.022 -1.830 0.933
Mo 0.000 0.000 0.000
N -1.767 -0.398 -0.822
N -0.913 0.811 1.570

---

Run two
5
Lattice="-1.282 2.115 -3.053 1.893 -2.406 -2.462 -3.119 -2.220 -0.228" Properties=species:S:1:pos:R:3 comment="ZnMoN2F PBE+U optimized geometry" space_group="P4/mmm (123)" pbc="T T T"
Zn 0.000 0.000 0.000
N 0.947 -1.203 -1.231
Mo -1.254 -1.256 -2.872
F -1.559 -1.110 -0.114
N -0.641 1.058 -1.527

---

The most stable of them is run one.

---

Run one
5
Lattice="4.282 0.000 0.000 0.000 4.282 0.000 0.000 0.000 4.082" Properties=species:S:1:pos:R:3 comment="ZrMoN2F PBE+U optimized geometry" space_group="P4/mmm (123)" pbc="T T T"
Zr 0.000 0.000 0.000
F 0.000 0.000 2.041
Mo 2.141 2.141 2.041
N 2.141 0.000 0.000
N 0.000 2.141 0.000

---

Run two
5
Lattice="4.097 0.000 0.000 0.000 4.097 0.000 0.000 0.000 3.928" Properties=species:S:1:pos:R:3 comment="ZrMoN2F PBE+U optimized geometry" space_group="P4/mmm (123)" pbc="T T T"
F 0.000 0.000 1.964
Zr 2.048 2.048 1.964
N 0.000 2.048 0.000
Mo 0.000 0.000 0.000
N 2.048 0.000 0.000

---

The most stable of them is run one.

---

Run one
4
Lattice="0.000 3.189 3.189 3.189 0.000 3.189 3.189 3.189 0.000" Properties=species:S:1:pos:R:3 comment="Nb2MoF PBE+U optimized geometry" space_group="Fm-3m (225)" pbc="T T T"
Nb 4.784 4.784 4.784
F 0.000 0.000 0.000
Mo 3.189 3.189 3.189
Nb 1.595 1.595 1.595

---

Run two
8
Lattice="6.650 0.000 0.000 0.000 6.650 0.000 3.325 3.325 2.977" Properties=species:S:1:pos:R:3 comment="Nb2MoF PBE+U optimized geometry" space_group="I-42d (122)" pbc="T T T"
Mo 0.000 0.000 0.000
F 3.325 3.325 0.000
Mo 6.650 3.325 1.488
F 3.325 6.650 1.488
Nb 4.595 1.662 0.744
Nb 2.055 4.987 0.744
Nb 4.987 5.380 2.233
Nb 8.312 7.920 2.233

---

The most stable of them is run two.

---

Run one
5
Lattice="4.383 0.000 0.000 0.000 4.383 0.000 0.000 0.000 4.383" Properties=species:S:1:pos:R:3 comment="NbMoF3 PBE+U optimized geometry" space_group="Pm-3m (221)" pbc="T T T"
Mo 2.192 2.192 2.192
F 0.000 0.000 2.192
F 2.192 0.000 0.000
F 0.000 2.192 0.000
Nb 0.000 0.000 0.000

---

Run two
5
Lattice="4.405 0.000 0.000 0.000 4.405 0.000 0.000 0.000 4.405" Properties=species:S:1:pos:R:3 comment="NbMoF3 PBE+U optimized geometry" space_group="Pm-3m (221)" pbc="T T T"
Mo 0.000 0.000 0.000
F 2.203 0.000 0.000
F 0.000 0.000 2.203
Nb 2.203 2.203 2.203
F 0.000 2.203 0.000

---

The most stable of them is run one.

---

Run one
5
Lattice="-1.080 4.110 -0.083 -2.452 -0.575 3.423 3.305 0.919 2.522" Properties=species:S:1:pos:R:3 comment="NbMoOF2 PBE+U optimized geometry" space_group="P4/mmm (123)" pbc="T T T"
O 1.652 0.460 1.261
Nb -0.114 2.227 2.931
Mo 0.000 0.000 0.000
F -1.226 -0.288 1.712
F -0.540 2.055 -0.042

---

Run two
5
Lattice="-2.274 2.330 -2.972 -3.202 0.649 2.959 1.821 3.352 1.235" Properties=species:S:1:pos:R:3 comment="NbMoOF2 PBE+U optimized geometry" space_group="P4/mmm (123)" pbc="T T T"
F -1.137 1.165 -1.486
F -1.601 0.325 1.479
Nb 0.000 0.000 0.000
Mo -1.827 3.165 0.611
O 0.910 1.676 0.617

---

The most stable of them is run two.

---

Run one
4
Lattice="-0.369 -0.011 4.216 -3.824 -0.295 1.788 -1.125 -3.546 2.016" Properties=species:S:1:pos:R:3 comment="NiMo2F PBE+U optimized geometry" space_group="Fm-3m (225)" pbc="T T T"
Mo -1.330 -0.963 2.005
Ni -2.659 -1.926 4.010
F 0.000 0.000 0.000
Mo -3.989 -2.889 6.015

---

Run two
8
Lattice="-2.548 -0.605 -5.774 -0.408 -6.272 0.838 -3.952 -3.136 -1.409" Properties=species:S:1:pos:R:3 comment="NiMo2F PBE+U optimized geometry" space_group="I-42d (122)" pbc="T T T"
Mo -4.084 -5.103 -2.885
Mo -2.561 -1.930 -3.697
F -1.478 -3.438 -2.468
Ni -3.989 -3.590 -4.826
Mo -1.632 -4.796 -0.710
F -2.919 -6.423 -1.520
Mo -5.539 -8.196 -5.399
Ni 0.000 0.000 0.000

---

The most stable of them is run one.

---

Run one
5
Lattice="4.025 0.000 0.000 0.000 4.025 0.000 0.000 0.000 4.025" Properties=species:S:1:pos:R:3 comment="NiMoF3 PBE+U optimized geometry" space_group="Pm-3m (221)" pbc="T T T"
Mo 2.012 2.012 2.012
F 0.000 0.000 2.012
F 2.012 0.000 0.000
Ni 0.000 0.000 0.000
F 0.000 2.012 0.000

---

Run two
5
Lattice="4.321 0.000 0.000 0.000 4.321 0.000 0.000 0.000 4.321" Properties=species:S:1:pos:R:3 comment="NiMoF3 PBE+U optimized geometry" space_group="Pm-3m (221)" pbc="T T T"
F 2.160 0.000 0.000
Mo 0.000 0.000 0.000
F 0.000 0.000 2.160
Ni 2.160 2.160 2.160
F 0.000 2.160 0.000

---

The most stable of them is run two.